Below is a relaxed PmPr5Y2 crystal, with properties calculated at the GGA-PBE level.

Unit cell a=14.760 b=12.293 c=6.797 alpha=90.00 beta=113.68 gamma=90.00
Space group C2/c (No. 15)
Symmetry-distinct sites (fractional):
Pm: 0.000 0.006 0.250 [4 per cell]
Pr: 0.000 0.261 0.750 [4 per cell]
Pr: 0.126 0.259 0.384 [8 per cell]
Pr: 0.239 0.012 0.707 [8 per cell]
Y: 0.000 0.500 0.000 [4 per cell]
Y: 0.250 0.250 0.000 [4 per cell]

Computed properties:
total energy	-5.003	eV per atom
energy above the lowest structure with this stoichiometry	184.3	meV per atom
size of the total moment	0.0	μB per formula unit
crystal system	monoclinic
ΔH_f (0 K)	1.55	eV per formula unit